1.
Material: Ho8Al2Tl
Method: DFT, PBE
State: relaxed

The space group is Immm (No. 71) and the conventional cell measures 4.976, 8.361 and 14.601 Å, with angles of 90.00, 90.00 and 90.00 degrees. The distinct sites, in fractional coordinates, are Ho at (0.000, 0.000, 0.146), Ho at (0.000, 0.214, 0.339), Ho at (0.000, 0.311, 0.000), Al at (0.000, 0.500, 0.194) and Tl at (0.000, 0.500, 0.500).

The value obtained for the energy above the most stable polymorph in this dataset is 0.593 eV/f.u. Its calculated formation energy is -0.148 eV per atom.

2.
Material: YBi2Pb2
Method: DFT, PBE
State: relaxed

The space group is I4/mmm (No. 139) and the conventional cell measures 4.416, 4.416 and 17.181 Å, with angles of 90.00, 90.00 and 90.00 degrees. The distinct sites, in fractional coordinates, are Y at (0.000, 0.000, 0.000), Bi at (0.000, 0.000, 0.409) and Pb at (0.000, 0.500, 0.250).

The value obtained for the energy above the most stable polymorph in this dataset is 0.147 eV/f.u. Its calculated formation energy is -0.121 eV per atom.

3.
Material: Na2Te2N
Method: DFT, PBE
State: relaxed

The space group is I4/mmm (No. 139) and the conventional cell measures 4.297, 4.297 and 16.417 Å, with angles of 90.00, 90.00 and 90.00 degrees. The distinct sites, in fractional coordinates, are Na at (0.000, 0.000, 0.093), Te at (0.000, 0.500, 0.250) and N at (0.000, 0.000, 0.500).

For the formation energy (no corrections), the calculation gives 540 meV per atom.

4.
Material: AcGaBiBr
Method: DFT, PBE
State: relaxed

The space group is F-43m (No. 216) and the conventional cell measures 7.967, 7.967 and 7.967 Å, with angles of 90.00, 90.00 and 90.00 degrees. The distinct sites, in fractional coordinates, are Ac at (0.000, 0.000, 0.000), Ga at (0.000, 0.000, 0.500), Bi at (0.250, 0.250, 0.250) and Br at (0.250, 0.250, 0.750).

For the formation energy (no corrections), the calculation gives -737 meV per atom.

5.
Material: TiMnP2
Method: DFT, PBE
State: relaxed

The space group is Fm-3m (No. 225) and the conventional cell measures 5.908, 5.908 and 5.908 Å, with angles of 90.00, 90.00 and 90.00 degrees. The distinct sites, in fractional coordinates, are Ti at (0.000, 0.000, 0.000), Mn at (0.000, 0.000, 0.500) and P at (0.250, 0.250, 0.250).

The value obtained for the energy above the most stable polymorph in this dataset is 0.654 eV/f.u. Its calculated formation energy is -0.420 eV per atom.

6.
Material: LiScCdAu
Method: DFT, PBE
State: relaxed

The space group is P4mm (No. 99) and the conventional cell measures 3.377, 3.377 and 6.672 Å, with angles of 90.00, 90.00 and 90.00 degrees. The distinct sites, in fractional coordinates, are Li at (0.000, 0.000, 0.000), Sc at (0.000, 0.000, 0.539), Cd at (0.500, 0.500, 0.236) and Au at (0.500, 0.500, 0.772).

Its calculated formation energy is -0.483 eV per atom.

7.
Material: ZrFeOs2
Method: DFT, PBE
State: relaxed

The space group is Cm (No. 8) and the conventional cell measures 9.652, 2.986 and 4.593 Å, with angles of 90.00, 109.43 and 90.00 degrees. The distinct sites, in fractional coordinates, are Zr at (0.000, 0.000, 0.000), Fe at (0.260, 0.500, 0.218), Os at (0.233, 0.000, 0.657) and Os at (0.491, 0.000, 0.505).

The value obtained for the energy above the most stable polymorph in this dataset is 0.229 eV/f.u. Its calculated formation energy is 0.053 eV per atom.

8.
Material: MgIn4Mo
Method: DFT, PBE
State: relaxed

The space group is F-43m (No. 216) and the conventional cell measures 8.095, 8.095 and 8.095 Å, with angles of 90.00, 90.00 and 90.00 degrees. The distinct sites, in fractional coordinates, are Mg at (0.000, 0.000, 0.000), In at (0.125, 0.125, 0.375) and Mo at (0.250, 0.250, 0.750).

Its calculated formation energy is 0.530 eV per atom.

9.
Material: Pu3Ga4Au4
Method: DFT, PBE
State: relaxed

The space group is Immm (No. 71) and the conventional cell measures 3.312, 4.727 and 28.918 Å, with angles of 90.00, 90.00 and 90.00 degrees. The distinct sites, in fractional coordinates, are Pu at (0.000, 0.000, 0.000), Pu at (0.000, 0.500, 0.141), Ga at (0.000, 0.000, 0.264), Ga at (0.000, 0.500, 0.405), Au at (0.000, 0.000, 0.451) and Au at (0.000, 0.500, 0.312).

The value obtained for the energy above the most stable polymorph in this dataset is 0.000 eV/f.u. Its calculated formation energy is -0.433 eV per atom.

10.
Material: ZrCuIrPt
Method: DFT, PBE
State: relaxed

The space group is Pmmm (No. 47) and the conventional cell measures 3.790, 3.996 and 4.154 Å, with angles of 90.00, 90.00 and 90.00 degrees. The distinct sites, in fractional coordinates, are Zr at (0.000, 0.000, 0.000), Cu at (0.000, 0.500, 0.500), Ir at (0.500, 0.500, 0.000) and Pt at (0.500, 0.000, 0.500).

The value obtained for the energy above the most stable polymorph in this dataset is 0.000 eV/f.u. Its calculated formation energy is -0.680 eV per atom.

11.
Material: PaAlRhO6
Method: DFT, PBE
State: relaxed

The space group is P-31c (No. 163) and the conventional cell measures 5.2068, 5.2068 and 8.7845 Å, with angles of 90.00, 90.00 and 120.00 degrees. The distinct sites, in fractional coordinates, are Pa at (0.3333, 0.6667, 0.2500), Al at (0.0000, 0.0000, 0.0000), Rh at (0.3333, 0.6667, 0.7500) and O at (0.0228, 0.3268, 0.6203).

For the formation energy (no corrections), the calculation gives -2272 meV per atom.

12.
Material: UAl20V2
Method: DFT, PBE
State: relaxed

The space group is Fd-3m (No. 227, origin choice 2) and the conventional cell measures 14.453, 14.453 and 14.453 Å, with angles of 90.00, 90.00 and 90.00 degrees. The distinct sites, in fractional coordinates, are U at (0.125, 0.125, 0.125), Al at (0.000, 0.000, 0.000), Al at (0.012, 0.375, 0.875), Al at (0.059, 0.059, 0.324) and V at (0.000, 0.000, 0.500).

Its calculated formation energy is -0.189 eV per atom.

13.
Material: Mg6SiSb
Method: DFT, PBE
State: relaxed

The space group is Amm2 (No. 38) and the conventional cell measures 5.267, 6.069 and 10.988 Å, with angles of 90.00, 90.00 and 90.00 degrees. The distinct sites, in fractional coordinates, are Mg at (0.000, 0.000, 0.000), Mg at (0.000, 0.000, 0.495), Mg at (0.000, 0.245, 0.245), Mg at (0.500, 0.250, 0.412), Si at (0.500, 0.000, 0.159) and Sb at (0.500, 0.000, 0.662).

The value obtained for the energy above the most stable polymorph in this dataset is 0.322 eV/f.u. For the formation energy (no corrections), the calculation gives 24 meV per atom.

14.
Material: SmAl2CdAu2
Method: DFT, PBE
State: relaxed

The space group is P-3m1 (No. 164) and the conventional cell measures 4.4767, 4.4767 and 7.1197 Å, with angles of 90.00, 90.00 and 120.00 degrees. The distinct sites, in fractional coordinates, are Sm at (0.0000, 0.0000, 0.0000), Al at (0.3333, 0.6667, 0.7102), Cd at (0.0000, 0.0000, 0.5000) and Au at (0.3333, 0.6667, 0.2740).

Its calculated formation energy is -0.537 eV per atom.

15.
Material: Ba2ScGa3Pt4
Method: DFT, PBE
State: relaxed

The space group is P-4m2 (No. 115) and the conventional cell measures 4.494, 4.494 and 10.988 Å, with angles of 90.00, 90.00 and 90.00 degrees. The distinct sites, in fractional coordinates, are Ba at (0.000, 0.500, 0.237), Sc at (0.000, 0.000, 0.500), Ga at (0.000, 0.500, 0.884), Ga at (0.500, 0.500, 0.500), Pt at (0.000, 0.000, 0.000), Pt at (0.000, 0.500, 0.638) and Pt at (0.500, 0.500, 0.000).

Its calculated formation energy is -0.844 eV per atom.

16.
Material: PrThCuHg
Method: DFT, PBE
State: relaxed

The space group is F-43m (No. 216) and the conventional cell measures 7.477, 7.477 and 7.477 Å, with angles of 90.00, 90.00 and 90.00 degrees. The distinct sites, in fractional coordinates, are Pr at (0.000, 0.000, 0.000), Th at (0.000, 0.000, 0.500), Cu at (0.250, 0.250, 0.750) and Hg at (0.250, 0.250, 0.250).

Its calculated formation energy is -0.145 eV per atom.

17.
Material: Na4Cd3Hg
Method: DFT, PBE
State: relaxed

The space group is C2/m (No. 12) and the conventional cell measures 20.038, 4.611 and 4.611 Å, with angles of 90.00, 103.24 and 90.00 degrees. The distinct sites, in fractional coordinates, are Na at (0.124, 0.000, 0.124), Na at (0.124, 0.500, 0.625), Cd at (0.000, 0.000, 0.500), Cd at (0.249, 0.000, 0.749) and Hg at (0.000, 0.500, 0.000).

The value obtained for the energy above the most stable polymorph in this dataset is 0.129 eV/f.u. Its calculated formation energy is -0.113 eV per atom.

18.
Material: ZrInF3
Method: DFT, PBE
State: relaxed

The space group is Pm-3m (No. 221) and the conventional cell measures 4.445, 4.445 and 4.445 Å, with angles of 90.00, 90.00 and 90.00 degrees. The distinct sites, in fractional coordinates, are Zr at (0.000, 0.000, 0.000), In at (0.500, 0.500, 0.500) and F at (0.000, 0.000, 0.500).

The value obtained for the energy above the most stable polymorph in this dataset is 0.000 eV/f.u. For the formation energy (no corrections), the calculation gives -2218 meV per atom.

19.
Material: CrCoIr4
Method: DFT, PBE
State: relaxed

The space group is F-43m (No. 216) and the conventional cell measures 7.245, 7.245 and 7.245 Å, with angles of 90.00, 90.00 and 90.00 degrees. The distinct sites, in fractional coordinates, are Cr at (0.000, 0.000, 0.000), Co at (0.250, 0.250, 0.750) and Ir at (0.125, 0.125, 0.375).

The value obtained for the energy above the most stable polymorph in this dataset is 2.866 eV/f.u. Its calculated formation energy is 0.565 eV per atom.

20.
Material: CeTm2N
Method: DFT, PBE
State: relaxed

The space group is P4/mmm (No. 123) and the conventional cell measures 3.092, 3.092 and 8.611 Å, with angles of 90.00, 90.00 and 90.00 degrees. The distinct sites, in fractional coordinates, are Ce at (0.000, 0.000, 0.000), Tm at (0.500, 0.500, 0.338) and N at (0.000, 0.000, 0.500).

The value obtained for the energy above the most stable polymorph in this dataset is 1.998 eV/f.u. For the formation energy (no corrections), the calculation gives -227 meV per atom.